Compound: KNiO2
Source: Alexandria
Functional: GGA+U
Structure: optimized geometry

Cell: 5.4555 8.1073 6.3394 Å, 90.00 90.75 90.00°
With the nearest neighbours (Å) after each atom.
Fractional positions:
1 Ni 0.7616 0.2451 0.6351  4 O 1.80-1.88
2 Ni 0.7384 0.7451 0.3649  4 O 1.80-1.88
3 Ni 0.2616 0.2549 0.6351  4 O 1.80-1.88
4 Ni 0.2384 0.7549 0.3649  4 O 1.80-1.88
5 O 0.9833 0.7544 0.5570  2 Ni 1.80-1.86
6 O 0.5167 0.2544 0.4430  2 Ni 1.80-1.86
7 O 0.0067 0.2501 0.8313  2 Ni 1.81-1.88
8 O 0.4833 0.7456 0.5570  2 Ni 1.80-1.86
9 O 0.0167 0.2456 0.4430  2 Ni 1.80-1.86
10 O 0.9933 0.7499 0.1687  2 Ni 1.81-1.88
11 O 0.4933 0.7501 0.1687  2 Ni 1.81-1.88
12 O 0.5067 0.2499 0.8313  2 Ni 1.81-1.88
13 K 0.2430 0.9073 0.8528  4 O 2.64-2.75
14 K 0.2570 0.4073 0.1472  4 O 2.64-2.75
15 K 0.7570 0.0927 0.1472  4 O 2.64-2.75
16 K 0.7430 0.5927 0.8528  4 O 2.64-2.75

Output
Uncorrected energy = -0.326 Ry per atom
Space-group type = P2_1/c, No. 14